(1)
## RbSr2CaAg (PBE)

Data for crystalline RbSr2CaAg at its relaxed geometry.

Computed properties:
- total DFT energy (no corrections) (eV per atom) = -1.87
- calculated formation energy (meV/atom) = -37
- spin magnetization (μB/cell) = 0.00

Cell: 6.3831 6.3831 6.0962 Å, 90.00 90.00 90.00°
Atoms (fractional coordinates):
Sr1 0.0000 0.5000 0.0000
Sr2 0.5000 0.0000 0.0000
Ca1 0.0000 0.0000 0.5000
Rb1 0.5000 0.5000 0.5000
Ag1 0.0000 0.0000 0.0000

(2)
## NaAcTb2S4 (PBE)

Data for crystalline NaAcTb2S4 at its relaxed geometry.

Computed properties:
- total DFT energy (no corrections) (eV per atom) = -5.81
- spin magnetization (μB/cell) = 0.00
- uncorrected formation energy (eV/atom) = -1.91

Cell: 4.0253 7.1895 6.9667 Å, 71.26 90.00 90.00°
Atoms (fractional coordinates):
Na1 0.0000 0.5000 0.5000
Ac1 0.5000 0.5000 0.0000
Tb1 0.0000 0.0000 0.0000
Tb2 0.5000 0.0000 0.5000
S1 0.0000 0.7710 0.7361
S2 0.0000 0.2290 0.2639
S3 0.5000 0.7699 0.2466
S4 0.5000 0.2301 0.7534